## 1
Entry from Alexandria: a relaxed NaLiBe3 crystal (PBE-GGA).

Values from the calculation:
As for the calculated density: 1.286 Mg/m³.

a = 4.190 Å, b = 4.190 Å, c = 4.190 Å
α = 90.00°, β = 90.00°, γ = 90.00°
Positions (direct):
Na 0.500 0.500 0.500
Li 0.000 0.000 0.000
Be 0.000 0.500 0.000
Be 0.000 0.000 0.500
Be 0.500 0.000 0.000



## 2
Entry from Alexandria: a relaxed NaLiBe3 crystal (PBE-GGA).

Values from the calculation:
As for the calculated density: 0.965 Mg/m³.

a = 4.610 Å, b = 4.610 Å, c = 4.610 Å
α = 90.00°, β = 90.00°, γ = 90.00°
Positions (direct):
Na 0.000 0.000 0.000
Li 0.500 0.500 0.500
Be 0.000 0.500 0.000
Be 0.000 0.000 0.500
Be 0.500 0.000 0.000



Quick one: least stable of them? 2



## 1
Entry from Alexandria: a relaxed LiBeNb crystal (PBE-GGA).

Values from the calculation:
As for the calculated density: 4.185 Mg/m³.

a = 4.394 Å, b = 4.394 Å, c = 2.583 Å
α = 90.00°, β = 90.00°, γ = 120.00°
Positions (direct):
Be 0.000 0.000 0.000
Nb 0.333 0.667 0.000
Li 0.667 0.333 0.500



## 2
Entry from Alexandria: a relaxed LiBeNb crystal (PBE-GGA).

Values from the calculation:
As for the calculated density: 3.830 Mg/m³.

a = 3.333 Å, b = 3.333 Å, c = 9.811 Å
α = 90.00°, β = 90.00°, γ = 120.00°
Positions (direct):
Be 0.000 0.000 0.250
Be 0.000 0.000 0.750
Nb 0.000 0.000 0.000
Nb 0.000 0.000 0.500
Li 0.333 0.667 0.250
Li 0.667 0.333 0.750



## 3
Entry from Alexandria: a relaxed LiBeNb crystal (PBE-GGA).

Values from the calculation:
As for the calculated density: 4.719 Mg/m³.

a = 7.120 Å, b = 5.156 Å, c = 4.174 Å
α = 90.00°, β = 90.00°, γ = 90.00°
Positions (direct):
Be 0.000 0.000 0.000
Be 0.500 0.500 0.500
Be 0.500 0.000 0.500
Be 0.000 0.500 0.000
Nb 0.336 0.250 0.000
Nb 0.164 0.750 0.500
Nb 0.664 0.750 0.000
Nb 0.836 0.250 0.500
Li 0.672 0.250 0.000
Li 0.828 0.750 0.500
Li 0.328 0.750 0.000
Li 0.172 0.250 0.500



Quick one: least stable of them? 2



## 1
Entry from Alexandria: a relaxed LiBeNb crystal (PBE-GGA).

Values from the calculation:
As for the calculated density: 4.662 Mg/m³.

a = 3.605 Å, b = 3.605 Å, c = 5.969 Å
α = 90.00°, β = 90.00°, γ = 90.00°
Positions (direct):
Be 0.000 0.000 0.500
Be 0.500 0.500 0.500
Nb 0.000 0.500 0.869
Nb 0.500 0.000 0.131
Li 0.000 0.500 0.298
Li 0.500 0.000 0.702



## 2
Entry from Alexandria: a relaxed LiBeNb crystal (PBE-GGA).

Values from the calculation:
As for the calculated density: 4.618 Mg/m³.

a = 5.442 Å, b = 5.442 Å, c = 3.789 Å
α = 90.00°, β = 90.00°, γ = 135.77°
Positions (direct):
Be 0.440 0.560 0.250
Be 0.560 0.440 0.750
Nb 0.734 0.266 0.250
Nb 0.266 0.734 0.750
Li 0.055 0.945 0.250
Li 0.945 0.055 0.750



Quick one: least stable of them? 1